VASP calculation (GGA-PBE) on an optimized crystal structure of KGa2ReOs.

Unit cell a=4.985 b=4.793 c=4.985 alpha=90.00 beta=90.00 gamma=90.00
Each line ends with the local moment (μB).
Sites, in units of the cell vectors:
Ga (0.000, 0.000, 0.500)  -0.01
Os (0.000, 0.500, 0.000)  0.80
Re (0.000, 0.000, 0.000)  0.07
K (0.500, 0.500, 0.500)  0.00
Ga (0.500, 0.000, 0.000)  0.00

- Energy of formation from the pure elements: 323 kJ/mol of formula units
- Space group: No. 123